Record 1
VASP calculation (PBE) on a relaxed structure of SiAu3.

DOS(E_F)   1.5 states/eV/f.u.
E_tot   -28.66 eV per cell
Uncorrected formation energy   0.231 eV/atom
M_tot   0.00 μB/atom

```
data_SiAu3
_symmetry_space_group_name_H-M 'P m -3 n'
_symmetry_Int_Tables_number 223
_symmetry_space_group_name_Hall '-P 4n 2 3'
_cell_length_a 5.2497
_cell_length_b 5.2497
_cell_length_c 5.2497
_cell_angle_alpha 90.00
_cell_angle_beta 90.00
_cell_angle_gamma 90.00
loop_
_atom_site_label
_atom_site_fract_x
_atom_site_fract_y
_atom_site_fract_z
_atom_site_occupancy
Si1 0.0000 0.0000 0.0000 1
Au1 0.0000 0.2500 0.5000 1
```

Record 2
VASP calculation (PBE) on a relaxed structure of Si3Au.

DOS(E_F)   1.3 states/eV/f.u.
E_tot   -17.94 eV per cell
Uncorrected formation energy   0.401 eV/atom
M_tot   0.00 μB/atom

```
data_Si3Au
_symmetry_space_group_name_H-M 'P m m m'
_symmetry_Int_Tables_number 47
_symmetry_space_group_name_Hall '-P 2 2'
_cell_length_a 2.7104
_cell_length_b 3.3122
_cell_length_c 7.0981
_cell_angle_alpha 90.00
_cell_angle_beta 90.00
_cell_angle_gamma 90.00
loop_
_atom_site_label
_atom_site_fract_x
_atom_site_fract_y
_atom_site_fract_z
_atom_site_occupancy
Si1 0.0000 0.0000 0.0000 1
Si2 0.5000 0.5000 0.2333 1
Au1 0.0000 0.0000 0.5000 1
```

Record 3
VASP calculation (PBE) on a relaxed structure of Si3Au5.

DOS(E_F)   3.0 states/eV/f.u.
E_tot   -63.15 eV per cell
Uncorrected formation energy   0.135 eV/atom
M_tot   0.00 μB/atom

```
data_Si3Au5
_symmetry_space_group_name_H-M 'P 63/m c m'
_symmetry_Int_Tables_number 193
_symmetry_space_group_name_Hall '-P 6c 2'
_cell_length_a 6.9246
_cell_length_b 6.9246
_cell_length_c 7.3709
_cell_angle_alpha 90.00
_cell_angle_beta 90.00
_cell_angle_gamma 120.00
loop_
_atom_site_label
_atom_site_fract_x
_atom_site_fract_y
_atom_site_fract_z
_atom_site_occupancy
Si1 0.0000 0.4151 0.2500 1
Au1 0.0000 0.2371 0.7500 1
Au2 0.3333 0.6667 0.0000 1
```

Record 4
VASP calculation (PBE) on a relaxed structure of Si3Au.

DOS(E_F)   1.9 states/eV/f.u.
E_tot   -35.23 eV per cell
Uncorrected formation energy   0.483 eV/atom
M_tot   0.00 μB/atom

```
data_Si3Au
_symmetry_space_group_name_H-M 'I 4/m m m'
_symmetry_Int_Tables_number 139
_symmetry_space_group_name_Hall '-I 4 2'
_cell_length_a 4.1817
_cell_length_b 4.1817
_cell_length_c 7.4432
_cell_angle_alpha 90.00
_cell_angle_beta 90.00
_cell_angle_gamma 90.00
loop_
_atom_site_label
_atom_site_fract_x
_atom_site_fract_y
_atom_site_fract_z
_atom_site_occupancy
Si1 0.0000 0.0000 0.0000 1
Si2 0.0000 0.5000 0.2500 1
Au1 0.0000 0.0000 0.5000 1
```

Record 5
VASP calculation (PBE) on a relaxed structure of Si3Au.

DOS(E_F)   1.5 states/eV/f.u.
E_tot   -74.04 eV per cell
Uncorrected formation energy   0.259 eV/atom
M_tot   0.00 μB/atom

```
data_Si3Au
_symmetry_space_group_name_H-M 'P n m a'
_symmetry_Int_Tables_number 62
_symmetry_space_group_name_Hall '-P 2ac 2n'
_cell_length_a 6.6231
_cell_length_b 5.2736
_cell_length_c 7.8229
_cell_angle_alpha 90.00
_cell_angle_beta 90.00
_cell_angle_gamma 90.00
loop_
_atom_site_label
_atom_site_fract_x
_atom_site_fract_y
_atom_site_fract_z
_atom_site_occupancy
Si1 0.0887 0.2500 0.1197 1
Si2 0.2265 0.0069 0.8537 1
Au1 0.0776 0.2500 0.5879 1
```

Record 6
VASP calculation (PBE) on a relaxed structure of SiAu3.

DOS(E_F)   1.9 states/eV/f.u.
E_tot   -29.65 eV per cell
Uncorrected formation energy   0.108 eV/atom
M_tot   0.00 μB/atom

```
data_SiAu3
_symmetry_space_group_name_H-M 'P 63/m m c'
_symmetry_Int_Tables_number 194
_symmetry_space_group_name_Hall '-P 6c 2c'
_cell_length_a 7.1608
_cell_length_b 7.1608
_cell_length_c 3.4190
_cell_angle_alpha 90.00
_cell_angle_beta 90.00
_cell_angle_gamma 120.00
loop_
_atom_site_label
_atom_site_fract_x
_atom_site_fract_y
_atom_site_fract_z
_atom_site_occupancy
Si1 0.3333 0.6667 0.2500 1
Au1 0.1829 0.3659 0.7500 1
```

Record 7
VASP calculation (PBE) on a relaxed structure of Si3Au5.

DOS(E_F)   2.6 states/eV/f.u.
E_tot   -127.99 eV per cell
Uncorrected formation energy   0.082 eV/atom
M_tot   0.00 μB/atom

```
data_Si3Au5
_symmetry_space_group_name_H-M 'C 1 m 1'
_symmetry_Int_Tables_number 8
_symmetry_space_group_name_Hall 'C -2y'
_cell_length_a 7.9632
_cell_length_b 10.9152
_cell_length_c 7.2099
_cell_angle_alpha 90.00
_cell_angle_beta 102.45
_cell_angle_gamma 90.00
loop_
_atom_site_label
_atom_site_fract_x
_atom_site_fract_y
_atom_site_fract_z
_atom_site_occupancy
Si1 0.0000 0.0000 0.0000 1
Si2 0.0027 0.5000 0.7679 1
Si3 0.2272 0.3386 0.3719 1
Si4 0.3859 0.1795 0.9050 1
Au1 0.0272 0.5000 0.4335 1
Au2 0.2120 0.3668 0.0112 1
Au3 0.2425 0.1445 0.5623 1
Au4 0.2528 0.1316 0.1738 1
Au5 0.4296 0.3642 0.7111 1
Au6 0.4618 0.5000 0.3497 1
```

Record 8
VASP calculation (PBE) on a relaxed structure of SmSi2Au2.

DOS(E_F)   1.4 states/eV/f.u.
E_tot   -50.21 eV per cell
Uncorrected formation energy   -0.597 eV/atom
M_tot   0.00 μB/atom

```
data_SmSi2Au2
_symmetry_space_group_name_H-M 'I 4/m m m'
_symmetry_Int_Tables_number 139
_symmetry_space_group_name_Hall '-I 4 2'
_cell_length_a 4.3032
_cell_length_b 4.3032
_cell_length_c 10.2890
_cell_angle_alpha 90.00
_cell_angle_beta 90.00
_cell_angle_gamma 90.00
loop_
_atom_site_label
_atom_site_fract_x
_atom_site_fract_y
_atom_site_fract_z
_atom_site_occupancy
Sm1 0.0000 0.0000 0.0000 1
Si1 0.0000 0.0000 0.3872 1
Au1 0.0000 0.5000 0.2500 1
```

Record 9
VASP calculation (PBE) on a relaxed structure of Sm3Si3Au2.

DOS(E_F)   4.2 states/eV/f.u.
E_tot   -172.56 eV per cell
Uncorrected formation energy   -0.770 eV/atom
M_tot   0.09 μB/atom

```
data_Sm3Si3Au2
_symmetry_space_group_name_H-M 'C m c m'
_symmetry_Int_Tables_number 63
_symmetry_space_group_name_Hall '-C 2c 2'
_cell_length_a 4.3535
_cell_length_b 10.8361
_cell_length_c 14.4654
_cell_angle_alpha 90.00
_cell_angle_beta 90.00
_cell_angle_gamma 90.00
loop_
_atom_site_label
_atom_site_fract_x
_atom_site_fract_y
_atom_site_fract_z
_atom_site_occupancy
Sm1 0.0000 0.0836 0.1145 1
Sm2 0.0000 0.3659 0.2500 1
Si1 0.0000 0.3418 0.7500 1
Si2 0.0000 0.3999 0.0402 1
Au1 0.0000 0.2079 0.5929 1
```

Record 10
VASP calculation (PBE) on a relaxed structure of SmSiAu.

DOS(E_F)   1.0 states/eV/f.u.
E_tot   -30.07 eV per cell
Uncorrected formation energy   -0.539 eV/atom
M_tot   0.00 μB/atom

```
data_SmSiAu
_symmetry_space_group_name_H-M 'P 1 21/m 1'
_symmetry_Int_Tables_number 11
_symmetry_space_group_name_Hall '-P 2yb'
_cell_length_a 4.3582
_cell_length_b 4.1843
_cell_length_c 7.3342
_cell_angle_alpha 90.00
_cell_angle_beta 93.73
_cell_angle_gamma 90.00
loop_
_atom_site_label
_atom_site_fract_x
_atom_site_fract_y
_atom_site_fract_z
_atom_site_occupancy
Sm1 0.2407 0.2500 0.3288 1
Si1 0.1786 0.7500 0.0056 1
Au1 0.3040 0.2500 0.7614 1
```

Record 11
VASP calculation (PBE) on a relaxed structure of Sm4Si2Au.

DOS(E_F)   7.3 states/eV/f.u.
E_tot   -109.34 eV per cell
Uncorrected formation energy   -0.492 eV/atom
M_tot   0.00 μB/atom

```
data_Sm4Si2Au
_symmetry_space_group_name_H-M 'R -3 m'
_symmetry_Int_Tables_number 166
_symmetry_space_group_name_Hall '-R 3 2"'
_cell_length_a 4.9715
_cell_length_b 4.9715
_cell_length_c 26.6521
_cell_angle_alpha 90.00
_cell_angle_beta 90.00
_cell_angle_gamma 120.00
loop_
_atom_site_label
_atom_site_fract_x
_atom_site_fract_y
_atom_site_fract_z
_atom_site_occupancy
Sm1 0.0000 0.0000 0.1198 1
Sm2 0.0000 0.0000 0.2949 1
Si1 0.0000 0.0000 0.4064 1
Au1 0.0000 0.0000 0.5000 1
```

Record 12
VASP calculation (PBE) on a relaxed structure of SmSi2Au3.

DOS(E_F)   2.4 states/eV/f.u.
E_tot   -113.38 eV per cell
Uncorrected formation energy   -0.491 eV/atom
M_tot   0.00 μB/atom

```
data_SmSi2Au3
_symmetry_space_group_name_H-M 'C 1 2/m 1'
_symmetry_Int_Tables_number 12
_symmetry_space_group_name_Hall '-C 2y'
_cell_length_a 15.8490
_cell_length_b 4.3051
_cell_length_c 7.5429
_cell_angle_alpha 90.00
_cell_angle_beta 115.52
_cell_angle_gamma 90.00
loop_
_atom_site_label
_atom_site_fract_x
_atom_site_fract_y
_atom_site_fract_z
_atom_site_occupancy
Sm1 0.1488 0.0000 0.0724 1
Si1 0.0119 0.5000 0.1626 1
Si2 0.1913 0.0000 0.6952 1
Au1 0.0423 0.0000 0.3612 1
Au2 0.1228 0.5000 0.7415 1
Au3 0.1820 0.5000 0.4087 1
```